Entry 1:
# PrPu2Ru | the Alexandria database | PBE-GGA | relaxed
# - Excess energy over the best structure of this formula in the dataset: 0 meV per atom
# - Energy of formation from the pure elements: -50 meV per atom
# - Magnetization: 90.431 μB/cell
# - Crystal system: orthorhombic
data_PrPu2Ru
_symmetry_space_group_name_H-M 'P 1'
_symmetry_Int_Tables_number 1
_symmetry_space_group_name_Hall 'P 1'
_cell_length_a 6.077
_cell_length_b 9.378
_cell_length_c 14.629
_cell_angle_alpha 90.00
_cell_angle_beta 90.00
_cell_angle_gamma 90.00
loop_
_atom_site_label
_atom_site_type_symbol
_atom_site_fract_x
_atom_site_fract_y
_atom_site_fract_z
_atom_site_occupancy
Pr1 Pr 0.536 0.250 0.143 1
Pr2 Pr 0.036 0.750 0.357 1
Pr3 Pr 0.464 0.750 0.857 1
Pr4 Pr 0.964 0.250 0.643 1
Pr5 Pr 0.762 0.250 0.393 1
Pr6 Pr 0.262 0.750 0.107 1
Pr7 Pr 0.238 0.750 0.607 1
Pr8 Pr 0.738 0.250 0.893 1
Pu1 Pu 0.052 0.061 0.213 1
Pu2 Pu 0.552 0.939 0.287 1
Pu3 Pu 0.948 0.561 0.787 1
Pu4 Pu 0.448 0.439 0.713 1
Pu5 Pu 0.948 0.939 0.787 1
Pu6 Pu 0.448 0.061 0.713 1
Pu7 Pu 0.052 0.439 0.213 1
Pu8 Pu 0.552 0.561 0.287 1
Pu9 Pu 0.759 0.559 0.037 1
Pu10 Pu 0.259 0.441 0.463 1
Pu11 Pu 0.241 0.059 0.963 1
Pu12 Pu 0.741 0.941 0.537 1
Pu13 Pu 0.241 0.441 0.963 1
Pu14 Pu 0.741 0.559 0.537 1
Pu15 Pu 0.759 0.941 0.037 1
Pu16 Pu 0.259 0.059 0.463 1
Ru1 Ru 0.268 0.250 0.324 1
Ru2 Ru 0.768 0.750 0.176 1
Ru3 Ru 0.732 0.750 0.676 1
Ru4 Ru 0.232 0.250 0.824 1
Ru5 Ru 0.021 0.250 0.074 1
Ru6 Ru 0.521 0.750 0.426 1
Ru7 Ru 0.979 0.750 0.926 1
Ru8 Ru 0.479 0.250 0.574 1

Entry 2:
# Pr3Pu2Ru3 | the Alexandria database | PBE-GGA | relaxed
# - Energy of formation from the pure elements: 13 meV per atom
# - Magnetization: 20.790 μB/cell
# - Crystal system: orthorhombic
data_Pr3Pu2Ru3
_symmetry_space_group_name_H-M 'P 1'
_symmetry_Int_Tables_number 1
_symmetry_space_group_name_Hall 'P 1'
_cell_length_a 4.875
_cell_length_b 6.245
_cell_length_c 13.581
_cell_angle_alpha 90.00
_cell_angle_beta 90.00
_cell_angle_gamma 112.97
loop_
_atom_site_label
_atom_site_type_symbol
_atom_site_fract_x
_atom_site_fract_y
_atom_site_fract_z
_atom_site_occupancy
Pr1 Pr 0.642 0.284 0.005 1
Pr2 Pr 0.358 0.716 0.505 1
Pr3 Pr 0.642 0.284 0.495 1
Pr4 Pr 0.358 0.716 0.995 1
Pr5 Pr 0.361 0.722 0.250 1
Pr6 Pr 0.639 0.278 0.750 1
Pu1 Pu 0.935 0.869 0.642 1
Pu2 Pu 0.065 0.131 0.142 1
Pu3 Pu 0.935 0.869 0.858 1
Pu4 Pu 0.065 0.131 0.358 1
Ru1 Ru 0.836 0.672 0.132 1
Ru2 Ru 0.164 0.328 0.632 1
Ru3 Ru 0.836 0.672 0.368 1
Ru4 Ru 0.164 0.328 0.868 1
Ru5 Ru 0.639 0.278 0.250 1
Ru6 Ru 0.361 0.722 0.750 1